Here is CsNi2Ru after structural relaxation from Alexandria. Energies are from GGA-PBE.

Cell: 6.5813 6.5813 6.5813 Å, 90.00 90.00 90.00°
Closest atoms and distances in Å follow each position.
Sites, in units of the cell vectors:
Cs 0.0000 0.0000 0.0000  8 Ni 2.85
Cs 0.0000 0.5000 0.5000  8 Ni 2.85
Cs 0.5000 0.0000 0.5000  8 Ni 2.85
Cs 0.5000 0.5000 0.0000  8 Ni 2.85
Ni 0.2500 0.2500 0.2500  4 Ru 2.85, 4 Cs 2.85
Ni 0.2500 0.2500 0.7500  4 Ru 2.85, 4 Cs 2.85
Ni 0.2500 0.7500 0.2500  4 Ru 2.85, 4 Cs 2.85
Ni 0.2500 0.7500 0.7500  4 Ru 2.85, 4 Cs 2.85
Ni 0.7500 0.2500 0.2500  4 Ru 2.85, 4 Cs 2.85
Ni 0.7500 0.2500 0.7500  4 Ru 2.85, 4 Cs 2.85
Ni 0.7500 0.7500 0.2500  4 Ru 2.85, 4 Cs 2.85
Ni 0.7500 0.7500 0.7500  4 Ru 2.85, 4 Cs 2.85
Ru 0.0000 0.0000 0.5000  8 Ni 2.85
Ru 0.0000 0.5000 0.0000  8 Ni 2.85
Ru 0.5000 0.0000 0.0000  8 Ni 2.85
Ru 0.5000 0.5000 0.5000  8 Ni 2.85

Output
Energy above the most stable polymorph in this dataset ... 384 meV per atom
Crystal system ... cubic
Spin magnetization ... 10.376 Bohr magnetons per cell

Here is CsNi2Ru after structural relaxation from Alexandria. Energies are from GGA-PBE.

Cell: 7.3734 7.3734 8.4055 Å, 90.00 90.00 90.00°
Closest atoms and distances in Å follow each position.
Sites, in units of the cell vectors:
Cs 0.0000 0.0000 0.0000  8 Ni 3.62-3.73
Cs 0.0000 0.5000 0.2500  8 Ni 3.62-3.73
Cs 0.5000 0.0000 0.7500  8 Ni 3.62-3.73
Cs 0.5000 0.5000 0.5000  8 Ni 3.62-3.73
Ni 0.1022 0.7500 0.6250  2 Ru 2.25
Ni 0.2500 0.1022 0.3750  2 Ru 2.25
Ni 0.2500 0.3978 0.8750  2 Ru 2.25
Ni 0.3978 0.7500 0.1250  2 Ru 2.25
Ni 0.6022 0.2500 0.1250  2 Ru 2.25
Ni 0.7500 0.6022 0.8750  2 Ru 2.25
Ni 0.7500 0.8978 0.3750  2 Ru 2.25
Ni 0.8978 0.2500 0.6250  2 Ru 2.25
Ru 0.0000 0.0000 0.5000  4 Ni 2.25
Ru 0.0000 0.5000 0.7500  4 Ni 2.25
Ru 0.5000 0.0000 0.2500  4 Ni 2.25
Ru 0.5000 0.5000 0.0000  4 Ni 2.25

Output
Energy above the most stable polymorph in this dataset ... 0 meV per atom
Crystal system ... tetragonal
Spin magnetization ... 0.002 Bohr magnetons per cell

Here is CsNi4Ru2 after structural relaxation from Alexandria. Energies are from GGA-PBE.

Cell: 4.7884 4.7884 12.7166 Å, 90.00 90.00 90.00°
Closest atoms and distances in Å follow each position.
Sites, in units of the cell vectors:
Cs 0.0000 0.0000 0.0000  4 Ni 2.39
Cs 0.5000 0.5000 0.5000  4 Ni 2.39
Ni 0.0000 0.0000 0.2334  1 Ru 2.24
Ni 0.0000 0.0000 0.7666  1 Ru 2.24
Ni 0.0000 0.5000 0.0000  2 Cs 2.39, 4 Ru 2.66
Ni 0.0000 0.5000 0.5000  2 Cs 2.39, 4 Ru 2.66
Ni 0.5000 0.0000 0.0000  2 Cs 2.39, 4 Ru 2.66
Ni 0.5000 0.0000 0.5000  2 Cs 2.39, 4 Ru 2.66
Ni 0.5000 0.5000 0.2666  1 Ru 2.24
Ni 0.5000 0.5000 0.7334  1 Ru 2.24
Ru 0.0000 0.0000 0.4096  1 Ni 2.24, 1 Ru 2.30
Ru 0.0000 0.0000 0.5904  1 Ni 2.24, 1 Ru 2.30
Ru 0.5000 0.5000 0.0904  1 Ni 2.24, 1 Ru 2.30
Ru 0.5000 0.5000 0.9096  1 Ni 2.24, 1 Ru 2.30

Output
Total energy ... -58.7 eV per cell
Crystal system ... tetragonal
Spin magnetization ... 0.497 Bohr magnetons per cell

Here is CsNiRu2 after structural relaxation from Alexandria. Energies are from GGA-PBE.

Cell: 6.6033 6.6033 6.6033 Å, 90.00 90.00 90.00°
Closest atoms and distances in Å follow each position.
Sites, in units of the cell vectors:
Cs 0.0000 0.0000 0.0000  8 Ru 2.86
Cs 0.0000 0.5000 0.5000  8 Ru 2.86
Cs 0.5000 0.0000 0.5000  8 Ru 2.86
Cs 0.5000 0.5000 0.0000  8 Ru 2.86
Ni 0.0000 0.0000 0.5000  8 Ru 2.86
Ni 0.0000 0.5000 0.0000  8 Ru 2.86
Ni 0.5000 0.0000 0.0000  8 Ru 2.86
Ni 0.5000 0.5000 0.5000  8 Ru 2.86
Ru 0.2500 0.2500 0.2500  4 Ni 2.86, 4 Cs 2.86
Ru 0.2500 0.2500 0.7500  4 Ni 2.86, 4 Cs 2.86
Ru 0.2500 0.7500 0.2500  4 Ni 2.86, 4 Cs 2.86
Ru 0.2500 0.7500 0.7500  4 Ni 2.86, 4 Cs 2.86
Ru 0.7500 0.2500 0.2500  4 Ni 2.86, 4 Cs 2.86
Ru 0.7500 0.2500 0.7500  4 Ni 2.86, 4 Cs 2.86
Ru 0.7500 0.7500 0.2500  4 Ni 2.86, 4 Cs 2.86
Ru 0.7500 0.7500 0.7500  4 Cs 2.86, 4 Ni 2.86

Output
Total energy ... -73.5 eV per cell
Crystal system ... cubic
Spin magnetization ... 17.374 Bohr magnetons per cell

Here is CsNiRu2S after structural relaxation from Alexandria. Energies are from GGA-PBE.

Cell: 4.7265 4.7265 4.4655 Å, 90.00 90.00 90.00°
Closest atoms and distances in Å follow each position.
Sites, in units of the cell vectors:
Cs 0.0000 0.0000 0.0000  8 Ru 3.25, 4 S 3.34
Ni 0.5000 0.5000 0.5000  2 S 2.23, 4 Ru 2.36
Ru 0.0000 0.5000 0.5000  2 Ni 2.36
Ru 0.5000 0.0000 0.5000  2 Ni 2.36
S 0.5000 0.5000 0.0000  2 Ni 2.23

Output
Total energy ... -23.2 eV per cell
Crystal system ... tetragonal
Spin magnetization ... 4.815 Bohr magnetons per cell

Here is CsNi3S2 after structural relaxation from Alexandria. Energies are from GGA-PBE.

Cell: 7.2619 7.2619 8.9209 Å, 109.60 109.60 29.60°
Closest atoms and distances in Å follow each position.
Sites, in units of the cell vectors:
Cs 0.1416 0.1416 0.0489  7 S 3.42-3.78, 3 Cs 3.71-3.76, 3 Ni 3.72-3.77
Cs 0.8584 0.8584 0.9511  7 S 3.42-3.78, 3 Cs 3.71-3.76, 3 Ni 3.72-3.77
Ni 0.0589 0.0589 0.4081  3 S 2.23-2.27
Ni 0.3116 0.3116 0.5712  2 S 2.16-2.24
Ni 0.4102 0.4102 0.3768  3 S 2.23-2.24
Ni 0.5898 0.5898 0.6232  3 S 2.23-2.24
Ni 0.6884 0.6884 0.4288  2 S 2.16-2.24
Ni 0.9411 0.9411 0.5919  3 S 2.23-2.27
S 0.1835 0.1835 0.6522  4 Ni 2.16-2.27
S 0.4730 0.4730 0.7398  4 Ni 2.23-2.24
S 0.5270 0.5270 0.2602  4 Ni 2.23-2.24
S 0.8165 0.8165 0.3478  4 Ni 2.16-2.27

Output
Total energy ... -58.5 eV per cell
Crystal system ... monoclinic
Spin magnetization ... 0.000 Bohr magnetons per cell